Entry 1:
Below is a relaxed structure of K2BiPt3, with properties calculated at the PBE-GGA level.

a = 5.615 Å, b = 5.615 Å, c = 11.624 Å
α = 90.00°, β = 90.00°, γ = 60.00°
Fractional coordinates of all 12 atoms:
K 0.167 0.167 0.000
K 0.167 0.167 0.500
K 0.833 0.833 0.000
K 0.833 0.833 0.500
Bi 0.499 0.501 0.750
Bi 0.501 0.499 0.250
Pt 0.001 0.499 0.250
Pt 0.001 0.999 0.250
Pt 0.499 0.001 0.750
Pt 0.501 0.999 0.250
Pt 0.999 0.001 0.750
Pt 0.999 0.501 0.750

Properties
**E_tot**: -0.31340 Ry per atom
**Crystal system**: orthorhombic


Entry 2:
Below is a relaxed structure of CaTm5Bi6, with properties calculated at the PBE-GGA level.

a = 7.718 Å, b = 7.718 Å, c = 7.748 Å
α = 99.55°, β = 99.55°, γ = 120.04°
Fractional coordinates of all 12 atoms:
Ca 0.000 0.000 0.000
Tm 0.164 0.836 0.500
Tm 0.332 0.668 0.000
Tm 0.500 0.500 0.500
Tm 0.668 0.332 0.000
Tm 0.836 0.164 0.500
Bi 0.085 0.424 0.254
Bi 0.256 0.256 0.748
Bi 0.424 0.085 0.254
Bi 0.576 0.915 0.746
Bi 0.744 0.744 0.252
Bi 0.915 0.576 0.746

Properties
**E_tot**: -0.34842 Ry per atom
**Crystal system**: monoclinic


Entry 3:
Below is a relaxed structure of Al3Cr, with properties calculated at the PBE-GGA level.

a = 2.911 Å, b = 8.726 Å, c = 4.616 Å
α = 90.00°, β = 90.00°, γ = 90.00°
Fractional coordinates of all 8 atoms:
Al 0.000 0.000 0.000
Al 0.000 0.239 0.629
Al 0.000 0.761 0.629
Al 0.500 0.261 0.129
Al 0.500 0.500 0.500
Al 0.500 0.739 0.129
Cr 0.000 0.500 0.978
Cr 0.500 0.000 0.478

Properties
**E_tot**: -0.38855 Ry per atom
**Crystal system**: orthorhombic


Entry 4:
Below is a relaxed structure of CrInBi2, with properties calculated at the PBE-GGA level.

a = 6.468 Å, b = 6.468 Å, c = 13.676 Å
α = 90.00°, β = 90.00°, γ = 90.00°
Fractional coordinates of all 16 atoms:
Cr 0.000 0.000 0.000
Cr 0.000 0.500 0.250
Cr 0.500 0.000 0.750
Cr 0.500 0.500 0.500
In 0.000 0.000 0.500
In 0.000 0.500 0.750
In 0.500 0.000 0.250
In 0.500 0.500 0.000
Bi 0.214 0.250 0.125
Bi 0.250 0.714 0.375
Bi 0.250 0.786 0.875
Bi 0.286 0.250 0.625
Bi 0.714 0.750 0.625
Bi 0.750 0.214 0.875
Bi 0.750 0.286 0.375
Bi 0.786 0.750 0.125

Properties
**E_tot**: -0.33707 Ry per atom
**Crystal system**: tetragonal


Entry 5:
Below is a relaxed structure of Li2In2Ga3, with properties calculated at the PBE-GGA level.

a = 9.850 Å, b = 4.245 Å, c = 6.708 Å
α = 90.00°, β = 101.05°, γ = 90.00°
Fractional coordinates of all 14 atoms:
Li 0.139 0.000 0.420
Li 0.361 0.500 0.580
Li 0.639 0.500 0.420
Li 0.861 0.000 0.580
In 0.094 0.500 0.719
In 0.406 0.000 0.281
In 0.594 0.000 0.719
In 0.906 0.500 0.281
Ga 0.000 0.000 0.000
Ga 0.196 0.500 0.163
Ga 0.304 0.000 0.837
Ga 0.500 0.500 0.000
Ga 0.696 0.000 0.163
Ga 0.804 0.500 0.837

Properties
**E_tot**: -0.20328 Ry per atom
**Crystal system**: monoclinic


Entry 6:
Below is a relaxed structure of La4MnI5, with properties calculated at the PBE-GGA level.

a = 10.113 Å, b = 10.113 Å, c = 9.684 Å
α = 103.49°, β = 103.49°, γ = 24.90°
Fractional coordinates of all 10 atoms:
La 0.000 0.000 0.224
La 0.000 0.000 0.776
La 0.370 0.370 0.934
La 0.630 0.630 0.066
Mn 0.500 0.500 0.000
I 0.168 0.168 0.328
I 0.171 0.171 0.839
I 0.500 0.500 0.500
I 0.829 0.829 0.161
I 0.832 0.832 0.672

Properties
**Crystal system**: monoclinic
**Energy relative to the elements, uncorrected**: -1.042 eV/atom


no.,N(E_F) (states/eV/f.u.),total magnetic moment (μB per formula unit)
1,2.2,0.00
2,3.0,0.00
3,1.6,1.58
4,1.5,3.00
5,2.2,0.00
6,5.5,0.34